Material: Pr2ThAs3
Method: DFT, PBE-GGA
State: optimized geometry

```
6
Lattice="-2.147 3.033 6.423 2.147 -3.033 6.423 2.147 3.033 -6.423" Properties=species:S:1:pos:R:3 pbc="T T T"
Pr 0.000 0.000 2.150
Pr 0.000 0.000 10.696
Th 0.000 0.000 6.423
As 2.147 0.000 0.000
As 2.147 0.000 4.335
As 0.000 3.033 2.088
```

Output
Energy relative to the elements = -1.494 eV per atom

Material: MgBePt2
Method: DFT, PBE-GGA
State: optimized geometry

```
4
Lattice="2.903 -3.242 0.000 2.903 3.242 0.000 0.000 0.000 2.916" Properties=species:S:1:pos:R:3 pbc="T T T"
Mg 0.000 0.000 0.000
Be 2.903 0.000 0.000
Pt 1.451 1.621 1.458
Pt 1.451 -1.621 1.458
```

Output
Energy relative to the elements = -0.683 eV per atom

Material: La3NdY2Te6
Method: DFT, PBE-GGA
State: optimized geometry

```
12
Lattice="3.876 -6.745 0.000 3.876 6.745 0.000 -2.599 0.000 7.367" Properties=species:S:1:pos:R:3 pbc="T T T"
La 0.000 0.000 0.000
La 3.876 2.185 0.000
La 3.876 -2.185 0.000
Nd 2.577 0.000 3.683
Y 2.577 4.495 3.683
Y 2.577 -4.495 3.683
Te 1.260 2.299 1.921
Te -0.070 0.000 5.412
Te 1.260 -2.299 1.921
Te 3.893 2.299 5.445
Te 5.223 0.000 1.954
Te 3.893 -2.299 5.445
```

Output
Raw formation energy = -143 kJ/mol of atoms

Material: Pm12Pr5Er2
Method: DFT, PBE-GGA
State: optimized geometry

```
19
Lattice="9.057 -5.933 0.000 9.057 5.933 0.000 -1.399 0.000 6.126" Properties=species:S:1:pos:R:3 pbc="T T T"
Pm 4.380 3.018 4.909
Pm 0.566 0.000 1.675
Pm 6.667 3.015 2.339
Pm 10.047 3.015 3.787
Pm 6.894 0.000 0.011
Pm 12.334 3.018 1.217
Pm 4.380 -3.018 4.909
Pm 9.820 0.000 6.116
Pm 6.667 -3.015 2.339
Pm 10.047 -3.015 3.787
Pm 16.149 0.000 4.451
Pm 12.334 -3.018 1.217
Pr 1.980 0.000 5.250
Pr 4.535 0.000 2.726
Pr 8.357 0.000 3.063
Pr 12.179 0.000 3.401
Pr 14.734 0.000 0.877
Er 9.057 2.729 0.000
Er 9.057 -2.729 0.000
```

Output
Energy above the most stable polymorph in this dataset = 0.000 eV per atom
Energy relative to the elements = 0.097 eV per atom

Material: Pr2NdTm4Th
Method: DFT, PBE-GGA
State: optimized geometry

```
8
Lattice="5.118 0.000 0.000 0.000 5.126 0.000 -0.008 0.000 9.882" Properties=species:S:1:pos:R:3 pbc="T T T"
Pr 0.000 0.000 0.000
Pr 2.555 2.563 4.941
Nd -0.004 0.000 4.941
Tm 5.115 2.563 2.425
Tm -0.005 2.563 7.456
Tm 2.557 0.000 2.424
Tm 2.553 0.000 7.457
Th 2.559 2.563 0.000
```

Output
Energy relative to the elements = 0.030 eV per atom

Material: BaTc2Ag
Method: DFT, PBE-GGA
State: optimized geometry

```
4
Lattice="3.199 0.000 0.000 0.000 3.196 0.000 -0.013 0.000 8.380" Properties=species:S:1:pos:R:3 pbc="T T T"
Ba 0.000 0.000 0.000
Tc -0.003 0.000 3.818
Tc 1.597 1.598 2.630
Ag 1.591 1.598 5.710
```

Output
Energy above the most stable polymorph in this dataset = 0.011 eV per atom
Energy relative to the elements = 0.439 eV per atom

Material: Al2NiSbTe
Method: DFT, PBE-GGA
State: optimized geometry

```
5
Lattice="5.355 0.000 0.000 0.000 5.355 0.000 0.000 0.000 4.670" Properties=species:S:1:pos:R:3 pbc="T T T"
Al 0.000 2.678 0.000
Al 2.678 0.000 0.000
Ni 0.000 0.000 2.335
Sb 0.000 0.000 0.000
Te 2.678 2.678 2.335
```

Output
Raw formation energy = 56 kJ/mol of atoms

Material: Cs3SeS4
Method: DFT, PBE-GGA
State: optimized geometry

```
16
Lattice="10.861 0.000 0.000 0.000 9.313 0.000 0.000 0.000 7.103" Properties=species:S:1:pos:R:3 pbc="T T T"
Cs 0.000 1.144 0.000
Cs 2.388 3.020 3.645
Cs 3.043 6.293 0.093
Cs 5.430 8.169 3.551
Cs 7.818 6.293 0.093
Cs 8.473 3.020 3.645
Se 0.000 7.503 3.107
Se 5.430 1.811 6.658
S 0.000 0.459 3.525
S 0.000 7.261 0.908
S 2.015 6.517 3.765
S 3.415 2.797 0.214
S 5.430 2.052 4.459
S 5.430 8.855 7.076
S 7.446 2.797 0.214
S 8.846 6.517 3.765
```

Output
Energy above the most stable polymorph in this dataset = 0.150 eV per atom
Raw formation energy = -54 kJ/mol of atoms

Material: Th2PaS6
Method: DFT, PBE-GGA
State: optimized geometry

```
9
Lattice="7.143 -2.497 0.000 7.143 2.497 0.000 -5.249 0.000 7.312" Properties=species:S:1:pos:R:3 pbc="T T T"
Th 1.941 0.000 0.894
Th 7.097 0.000 6.417
Pa -2.624 0.000 3.656
S -0.695 0.000 1.601
S -1.169 0.000 6.231
S 3.038 0.000 3.345
S 6.000 0.000 3.967
S 10.207 0.000 1.081
S 9.733 0.000 5.711
```

Output
Raw formation energy = -162 kJ/mol of atoms

Material: ZnCrMo
Method: DFT, PBE-GGA
State: optimized geometry

```
3
Lattice="0.000 2.123 6.453 1.545 0.000 6.453 1.545 2.123 0.000" Properties=species:S:1:pos:R:3 pbc="T T T"
Zn 0.000 0.000 0.000
Cr 1.545 2.123 4.346
Mo 1.545 2.123 8.752
```

Output
Energy above the most stable polymorph in this dataset = 0.058 eV per atom
Energy relative to the elements = 0.201 eV per atom

Material: TbTlP2O6
Method: DFT, PBE-GGA
State: optimized geometry

```
20
Lattice="3.856 -5.593 0.000 3.856 5.593 0.000 -0.779 0.000 8.439" Properties=species:S:1:pos:R:3 pbc="T T T"
Tb 3.272 3.765 6.329
Tb 3.661 -3.765 2.110
Tl 3.661 0.915 2.110
Tl 3.272 -0.915 6.329
P 2.682 4.111 2.654
P 4.641 4.111 1.565
P 2.292 -4.111 6.874
P 4.251 -4.111 5.785
O 1.436 2.407 6.455
O 2.956 3.704 4.103
O 1.188 0.010 1.723
O 0.799 -0.010 5.942
O 4.366 3.704 0.116
O 1.825 -2.407 2.236
O 5.108 2.407 6.203
O 2.567 -3.704 8.323
O 6.134 0.010 2.497
O 5.745 -0.010 6.716
O 3.976 -3.704 4.336
O 5.497 -2.407 1.984
```

Output
Raw formation energy = -228 kJ/mol of atoms

Material: Be3CoAs
Method: DFT, PBE-GGA
State: optimized geometry

```
5
Lattice="3.991 0.000 0.000 0.000 3.991 0.000 0.000 0.000 3.991" Properties=species:S:1:pos:R:3 pbc="T T T"
Be 0.000 0.000 1.996
Be 0.000 1.996 0.000
Be 1.996 0.000 0.000
Co 0.000 0.000 0.000
As 1.996 1.996 1.996
```

Output
Energy above the most stable polymorph in this dataset = 0.000 eV per atom
Energy relative to the elements = 0.602 eV per atom